CdIrOs2 | the Alexandria database | SCAN | single point on PBEsol structure; calculated total energy = -60.753 eV per atom; volume = 59.9 Å³/f.u.; formation energy from the elements = 218 kJ/mol of formula units; spin magnetization = 0.00 μB/cell
1.0
4.7884 0.0000 0.0000
0.0000 2.7387 0.0000
-1.6570 0.0000 4.5681
Cd Ir Os
1 1 2
Direct
0.0000 0.0000 0.0000
0.5000 0.5000 0.0000
0.0000 0.5000 0.5000
0.5000 0.0000 0.5000